1.
This record from Alexandria describes a relaxed Zn2NF crystal. The functional is GGA-PBE.

Properties
- VASP energy: -4.01 eV per atom
- Fermi-level density of states: 0.000 states/eV/atom

Unit cell a=4.7421 b=4.7421 c=9.9048 alpha=90.00 beta=90.00 gamma=90.00
Last column: nearest neighbours and their distance in Å.
Space group I-42d (No. 122)
Asymmetric unit:
Zn 0.1818 0.2500 0.1250 x8  2 N 1.92
N 0.0000 0.0000 0.0000 x4  4 Zn 1.92
F 0.0000 0.0000 0.5000 x4  4 Zn 2.28

2.
This record from Alexandria describes a relaxed ZnN3F crystal. The functional is GGA-PBE.

Properties
- VASP energy: -3.32 eV per atom
- Fermi-level density of states: 0.441 states/eV/atom

Unit cell a=3.9013 b=3.9013 c=3.9013 alpha=90.00 beta=90.00 gamma=90.00
Last column: nearest neighbours and their distance in Å.
Space group Pm-3m (No. 221)
Asymmetric unit:
Zn 0.0000 0.0000 0.0000 x1  6 N 1.95
N 0.0000 0.0000 0.5000 x3  2 Zn 1.95
F 0.5000 0.5000 0.5000 x1  12 N 2.76

3.
This record from Alexandria describes a relaxed ZnN2F2 crystal. The functional is GGA-PBE.

Properties
- VASP energy: -5.66 eV per atom
- Fermi-level density of states: 0.000 states/eV/atom
- Excess energy over the best structure of this formula in the dataset: 0 meV/atom

Unit cell a=5.6035 b=3.2365 c=8.6758 alpha=90.00 beta=91.04 gamma=90.00
Last column: nearest neighbours and their distance in Å.
Space group C2/m (No. 12)
Asymmetric unit:
Zn 0.0000 0.0000 0.0000 x2  6 F 2.09-2.10
N 0.0024 0.0000 0.4359 x4  1 N 1.11
F 0.1698 0.5000 0.1095 x4  3 Zn 2.09-2.10

4.
This record from Alexandria describes a relaxed Zn2NF2 crystal. The functional is GGA-PBE.

Properties
- VASP energy: -3.15 eV per atom
- Fermi-level density of states: 0.354 states/eV/atom
- Excess energy over the best structure of this formula in the dataset: 0 meV/atom

Unit cell a=4.0645 b=4.0645 c=7.1866 alpha=90.00 beta=90.00 gamma=90.00
Last column: nearest neighbours and their distance in Å.
Space group I4/mmm (No. 139)
Asymmetric unit:
Zn 0.0000 0.5000 0.2500 x4  4 F 2.13
N 0.0000 0.0000 0.0000 x2  2 F 2.43, 8 Zn 2.71
F 0.0000 0.0000 0.3387 x4  4 Zn 2.13, 1 F 2.32